Computed, not measured: CsPdC after structural relaxation at the PBE level of DFT.

abc: 4.6499 6.9572 6.2092
angles: 114.11 90.00 109.52
Positions (direct):
Cs  0.1106  0.2212  0.3837
Cs  0.8894  0.7788  0.6163
C  0.5460  0.0921  0.9893
C  0.4540  0.9079  0.0107
Pd  0.3075  0.6150  0.0189
Pd  0.6925  0.3850  0.9811

## Properties
crystal system = monoclinic
V = 171 Å³/cell
symmetry = C2/m, No. 12
formation energy from the elements = 0.2572 eV/atom
E_tot = -4.833 eV per atom
spin magnetization = 0.0 μB/f.u.